Entry 1:
# Li2Zn2CdCu2 PBE-GGA optimized geometry
# Energy of formation from the pure elements: -0.12 eV/atom
data_Li2Zn2CdCu2
_chemical_formula_sum 'Li4 Zn4 Cd2 Cu4'
_cell_length_a 8.461
_cell_length_b 3.912
_cell_length_c 6.227
_cell_angle_alpha 90.00
_cell_angle_beta 98.45
_cell_angle_gamma 90.00
_symmetry_space_group_name_H-M 'C 1 2/m 1'
_symmetry_Int_Tables_number 12
_symmetry_space_group_name_Hall '-C 2y'
loop_
_atom_site_label
_atom_site_fract_x
_atom_site_fract_y
_atom_site_fract_z
Li1 0.210 0.000 0.169
Zn1 0.086 0.000 0.690
Cd1 0.000 0.500 0.000
Cu1 0.139 0.500 0.430

Entry 2:
# LuCd2Cu PBE-GGA optimized geometry
# Energy of formation from the pure elements: -0.09 eV/atom
data_LuCd2Cu
_chemical_formula_sum 'Lu1 Cd2 Cu1'
_cell_length_a 4.211
_cell_length_b 4.211
_cell_length_c 4.748
_cell_angle_alpha 90.00
_cell_angle_beta 90.00
_cell_angle_gamma 90.00
_symmetry_space_group_name_H-M 'P 4/m m m'
_symmetry_Int_Tables_number 123
_symmetry_space_group_name_Hall '-P 4 2'
loop_
_atom_site_label
_atom_site_fract_x
_atom_site_fract_y
_atom_site_fract_z
Lu1 0.000 0.000 0.000
Cd1 0.000 0.500 0.500
Cu1 0.500 0.500 0.000

Entry 3:
# LuCd2Cu PBE-GGA optimized geometry
# Energy of formation from the pure elements: -0.09 eV/atom
data_LuCd2Cu
_chemical_formula_sum 'Lu4 Cd8 Cu4'
_cell_length_a 6.852
_cell_length_b 6.852
_cell_length_c 6.852
_cell_angle_alpha 90.00
_cell_angle_beta 90.00
_cell_angle_gamma 90.00
_symmetry_space_group_name_H-M 'F m -3 m'
_symmetry_Int_Tables_number 225
_symmetry_space_group_name_Hall '-F 4 2 3'
loop_
_atom_site_label
_atom_site_fract_x
_atom_site_fract_y
_atom_site_fract_z
Lu1 0.000 0.000 0.000
Cd1 0.250 0.250 0.250
Cu1 0.000 0.000 0.500

Entry 4:
# LuCd2Cu PBE-GGA optimized geometry
# Energy of formation from the pure elements: 0.27 eV/atom
data_LuCd2Cu
_chemical_formula_sum 'Lu3 Cd6 Cu3'
_cell_length_a 3.1438
_cell_length_b 3.1438
_cell_length_c 31.3878
_cell_angle_alpha 90.00
_cell_angle_beta 90.00
_cell_angle_gamma 120.00
_symmetry_space_group_name_H-M 'R -3 m'
_symmetry_Int_Tables_number 166
_symmetry_space_group_name_Hall '-R 3 2"'
loop_
_atom_site_label
_atom_site_fract_x
_atom_site_fract_y
_atom_site_fract_z
Lu1 0.0000 0.0000 0.0000
Cd1 0.0000 0.0000 0.0993
Cu1 0.0000 0.0000 0.5000

Entry 5:
# LuCdCu PBE-GGA optimized geometry
# Energy of formation from the pure elements: -0.13 eV/atom
data_LuCdCu
_chemical_formula_sum 'Lu4 Cd4 Cu4'
_cell_length_a 6.457
_cell_length_b 6.457
_cell_length_c 6.457
_cell_angle_alpha 90.00
_cell_angle_beta 90.00
_cell_angle_gamma 90.00
_symmetry_space_group_name_H-M 'F -4 3 m'
_symmetry_Int_Tables_number 216
_symmetry_space_group_name_Hall 'F -4 2 3'
loop_
_atom_site_label
_atom_site_fract_x
_atom_site_fract_y
_atom_site_fract_z
Lu1 0.000 0.000 0.000
Cd1 0.000 0.000 0.500
Cu1 0.250 0.250 0.250

Entry 6:
# LuCdCu PBE-GGA optimized geometry
# Energy of formation from the pure elements: -0.19 eV/atom
data_LuCdCu
_chemical_formula_sum 'Lu1 Cd1 Cu1'
_cell_length_a 4.6209
_cell_length_b 4.6209
_cell_length_c 3.3158
_cell_angle_alpha 90.00
_cell_angle_beta 90.00
_cell_angle_gamma 120.00
_symmetry_space_group_name_H-M 'P -6 m 2'
_symmetry_Int_Tables_number 187
_symmetry_space_group_name_Hall 'P -6 2'
loop_
_atom_site_label
_atom_site_fract_x
_atom_site_fract_y
_atom_site_fract_z
Lu1 0.0000 0.0000 0.0000
Cd1 0.3333 0.6667 0.5000
Cu1 0.6667 0.3333 0.5000

Number 1: magnetic moment 0.000 μB/atom. Number 2: magnetic moment 0.000 μB/atom. Number 3: magnetic moment 0.000 μB/atom. Number 4: magnetic moment 0.000 μB/atom. Number 5: magnetic moment 0.000 μB/atom. Number 6: magnetic moment 0.000 μB/atom.